Density functional theory data (PBE) for crystalline ScBeZnBi at its relaxed geometry.

The structure belongs to space group F-43m (No. 216); the cell edges are 6.862, 6.862 and 6.862 Å and the angles 90.00°, 90.00° and 90.00°. Symmetry generates all atoms from Sc at (0.000, 0.000, 0.000), Be at (0.250, 0.250, 0.750), Zn at (0.000, 0.000, 0.500) and Bi at (0.250, 0.250, 0.250).

Its total energy is -3.51 eV per atom. The total magnetization comes out at 0.1 μB per formula unit.